# NiH2RuCl

NiH2RuCl after structural relaxation (PBE, Alexandria via LeMat-Bulk).

Cell: 3.3467 3.3467 6.9369 Å, 90.00 90.00 90.00°
Space group P4/mmm (No. 123)
Asymmetric unit:
1 Ni 0.0000 0.0000 0.0000
2 H 0.0000 0.5000 0.5000
3 Ru 0.5000 0.5000 0.0000
4 Cl 0.5000 0.5000 0.5000

Output
raw total energy	-18.2	eV per cell
crystal system	tetragonal
Fermi-level density of states	0.4358	states/eV per atom